A relaxed FeCo2Ni crystal. Source: Alexandria, functional PBE.

Cell and atoms, written as POSCAR:
```
FeCo2Ni
1.0
5.026 0.000 0.000
0.000 7.096 0.000
0.000 0.000 2.492
Fe Co Ni
2 4 2
Cartesian
0.000 0.000 0.000 Fe
2.513 3.548 0.000 Fe
1.257 1.774 1.246 Co
1.257 5.322 1.246 Co
3.770 1.774 1.246 Co
3.770 5.322 1.246 Co
0.000 3.548 0.000 Ni
2.513 0.000 0.000 Ni
```

Computed properties:
As for the offset from the most stable computed form: 32 meV per atom. The space group is Cmmm (65). The formation energy is 0.01 eV/atom. The density of states at the Fermi level is 3.68 states/eV/f.u. For the magnetization, the calculation gives 12.9 μB/cell.